The following is a meta-GGA SCAN calculation of LiCrIn2 at its PBEsol-relaxed geometry, from Alexandria via LeMat-Bulk.

a = 4.614 Å, b = 4.614 Å, c = 3.327 Å
α = 90.00°, β = 90.00°, γ = 90.00°
Fractional coordinates of all 4 atoms:
Li 0.000 0.000 0.000
Cr 0.500 0.500 0.000
In 0.000 0.500 0.500
In 0.500 0.000 0.500

Properties
M_tot in μB per atom: 0.91
E in eV/cell: -88.14